Record 1
The following is a GGA-PBE calculation of a relaxed KAgOsSeS2 crystal, from OQMD via LeMat-Bulk.

Cell lengths 7.7230, 7.7230, 9.8815 Å; angles 90.00, 90.00, 152.24 degrees
Closest atoms and distances in Å follow each position.
Positions (direct):
K 0.2427 0.7573 0.7500  2 Se 3.33, 2 Ag 3.36, 6 S 3.51-3.61, 2 K 3.71
K 0.7573 0.2427 0.2500  2 Se 3.33, 2 Ag 3.36, 6 S 3.51-3.61, 2 K 3.71
Ag 0.4440 0.5560 0.2500  2 S 2.40, 2 Se 2.68
Ag 0.5560 0.4440 0.7500  2 S 2.40, 2 Se 2.68
Os 0.0000 0.0000 0.0000  4 S 2.42, 2 Se 2.70
Os 0.0000 0.0000 0.5000  4 S 2.42, 2 Se 2.70
Se 0.0731 0.9269 0.2500  2 Ag 2.68, 2 Os 2.70
Se 0.9269 0.0731 0.7500  2 Ag 2.68, 2 Os 2.70
S 0.3967 0.6033 0.0180  1 Ag 2.40, 2 Os 2.42
S 0.3967 0.6033 0.4820  1 Ag 2.40, 2 Os 2.42
S 0.6033 0.3967 0.5180  1 Ag 2.40, 2 Os 2.42
S 0.6033 0.3967 0.9820  1 Ag 2.40, 2 Os 2.42

Values from the calculation:
space group	Cmcm, No. 63

***

Record 2
The following is a GGA-PBE calculation of a relaxed KAgTe2OsS crystal, from OQMD via LeMat-Bulk.

Cell lengths 8.0898, 8.0898, 9.9739 Å; angles 90.00, 90.00, 150.92 degrees
Closest atoms and distances in Å follow each position.
Positions (direct):
K 0.2370 0.7630 0.7500  6 Te 3.47-3.67, 2 Ag 3.70, 2 S 3.81
K 0.7630 0.2370 0.2500  6 Te 3.47-3.67, 2 Ag 3.70, 2 S 3.81
Ag 0.4602 0.5398 0.2500  2 S 2.54, 2 Te 2.67
Ag 0.5398 0.4602 0.7500  2 S 2.54, 2 Te 2.67
Te 0.3845 0.6155 0.0097  1 Ag 2.67, 2 Os 2.72
Te 0.3845 0.6155 0.4903  1 Ag 2.67, 2 Os 2.72
Te 0.6155 0.3845 0.5097  1 Ag 2.67, 2 Os 2.72
Te 0.6155 0.3845 0.9903  1 Ag 2.67, 2 Os 2.72
Os 0.0000 0.0000 0.0000  2 S 2.65, 4 Te 2.72
Os 0.0000 0.0000 0.5000  2 S 2.65, 4 Te 2.72
S 0.0574 0.9426 0.2500  2 Ag 2.54, 2 Os 2.65
S 0.9426 0.0574 0.7500  2 Ag 2.54, 2 Os 2.65

Values from the calculation:
space group	Cmcm, No. 63

***

Record 3
The following is a GGA-PBE calculation of a relaxed KAgTeOsS2 crystal, from OQMD via LeMat-Bulk.

Cell lengths 8.1186, 8.1186, 10.1562 Å; angles 90.00, 90.00, 153.62 degrees
Closest atoms and distances in Å follow each position.
Positions (direct):
K 0.2330 0.7670 0.7500  2 Ag 3.31, 2 Te 3.52, 4 S 3.65, 2 K 3.71
K 0.7670 0.2330 0.2500  2 Ag 3.31, 2 Te 3.52, 4 S 3.65, 2 K 3.71
Ag 0.4408 0.5592 0.2500  2 S 2.40
Ag 0.5592 0.4408 0.7500  2 S 2.40
Te 0.0778 0.9222 0.2500  2 Os 2.82, 2 Ag 2.85
Te 0.9222 0.0778 0.7500  2 Os 2.82, 2 Ag 2.85
Os 0.0000 0.0000 0.0000  4 S 2.43
Os 0.0000 0.0000 0.5000  4 S 2.43
S 0.4016 0.5984 0.0218  1 Ag 2.40, 2 Os 2.43
S 0.4016 0.5984 0.4782  1 Ag 2.40, 2 Os 2.43
S 0.5984 0.4016 0.5218  1 Ag 2.40, 2 Os 2.43
S 0.5984 0.4016 0.9782  1 Ag 2.40, 2 Os 2.43

Values from the calculation:
space group	Cmcm, No. 63

***

Record 4
The following is a GGA-PBE calculation of a relaxed K2Ag2OsSe4 crystal, from OQMD via LeMat-Bulk.

Cell lengths 7.2612, 6.0486, 12.4874 Å; angles 90.00, 115.10, 90.00 degrees
Closest atoms and distances in Å follow each position.
Positions (direct):
K 0.0000 0.0000 0.0000  6 Se 3.33-3.73
K 0.0000 0.0000 0.5000  6 Se 3.33-3.73
K 0.0000 0.4732 0.2500  8 Se 3.43-3.78, 2 Ag 3.77
K 0.0000 0.5268 0.7500  8 Se 3.43-3.78, 2 Ag 3.77
Ag 0.4993 0.2490 0.4741  4 Se 2.68-2.81
Ag 0.4993 0.7510 0.9741  4 Se 2.68-2.81
Ag 0.5007 0.2490 0.0259  4 Se 2.68-2.81
Ag 0.5007 0.7510 0.5259  4 Se 2.68-2.81
Os 0.5000 0.2483 0.7500  4 Se 2.38-2.39
Os 0.5000 0.7517 0.2500  4 Se 2.38-2.39
Se 0.2758 0.0451 0.8080  1 Os 2.38
Se 0.2758 0.9549 0.3080  1 Os 2.38
Se 0.2791 0.4593 0.5831  1 Os 2.39
Se 0.2791 0.5407 0.0831  1 Os 2.39
Se 0.7209 0.4593 0.9169  1 Os 2.39
Se 0.7209 0.5407 0.4169  1 Os 2.39
Se 0.7242 0.0451 0.6920  1 Os 2.38
Se 0.7242 0.9549 0.1920  1 Os 2.38

Values from the calculation:
space group	P2/c, No. 13

***

Record 5
The following is a GGA-PBE calculation of a relaxed KAg2OsSe4 crystal, from OQMD via LeMat-Bulk.

Cell lengths 7.4488, 10.1119, 10.1119 Å; angles 142.50, 90.00, 90.00 degrees
Closest atoms and distances in Å follow each position.
Positions (direct):
K 0.2500 0.1906 0.8094  8 Se 3.55-3.94, 1 Ag 3.79
K 0.7500 0.8094 0.1906  8 Se 3.55-3.94, 1 Ag 3.79
Ag 0.0000 0.7007 0.7007  4 Se 2.60-2.82
Ag 0.2500 0.1472 0.4014  4 Se 2.63-2.68
Ag 0.5000 0.7007 0.7007  4 Se 2.60-2.82
Ag 0.7500 0.4014 0.1472  4 Se 2.63-2.68
Os 0.2500 0.6923 0.9307  4 Se 2.36-2.40
Os 0.7500 0.9307 0.6923  4 Se 2.36-2.40
Se 0.0034 0.4463 0.7042  1 Os 2.40, 2 Ag 2.60-2.68
Se 0.2500 0.0034 0.0407  1 Os 2.36, 1 Ag 2.65
Se 0.2500 0.7672 0.2194  1 Os 2.36, 1 Ag 2.63
Se 0.4966 0.4463 0.7042  1 Os 2.40, 2 Ag 2.60-2.68
Se 0.5034 0.7042 0.4463  1 Os 2.40, 2 Ag 2.60-2.68
Se 0.7500 0.0407 0.0034  1 Os 2.36, 1 Ag 2.65
Se 0.7500 0.2194 0.7672  1 Os 2.36, 1 Ag 2.63
Se 0.9966 0.7042 0.4463  1 Os 2.40, 2 Ag 2.60-2.68

Values from the calculation:
space group	Ama2, No. 40

***

Record 6
The following is a GGA-PBE calculation of a relaxed KAgTeOsSe2 crystal, from OQMD via LeMat-Bulk.

Cell lengths 8.1498, 8.1498, 10.3126 Å; angles 90.00, 90.00, 152.56 degrees
Closest atoms and distances in Å follow each position.
Positions (direct):
K 0.2337 0.7663 0.7500  2 Ag 3.41, 2 Te 3.61, 6 Se 3.69-3.76
K 0.7663 0.2337 0.2500  2 Ag 3.41, 2 Te 3.61, 6 Se 3.69-3.76
Ag 0.4440 0.5560 0.2500  2 Se 2.52
Ag 0.5560 0.4440 0.7500  2 Se 2.52
Te 0.0741 0.9259 0.2500  2 Ag 2.82, 2 Os 2.83
Te 0.9259 0.0741 0.7500  2 Ag 2.82, 2 Os 2.83
Os 0.0000 0.0000 0.0000  4 Se 2.56, 2 Te 2.83
Os 0.0000 0.0000 0.5000  4 Se 2.56, 2 Te 2.83
Se 0.3946 0.6054 0.0180  1 Ag 2.52, 2 Os 2.56
Se 0.3946 0.6054 0.4820  1 Ag 2.52, 2 Os 2.56
Se 0.6054 0.3946 0.5180  1 Ag 2.52, 2 Os 2.56
Se 0.6054 0.3946 0.9820  1 Ag 2.52, 2 Os 2.56

Values from the calculation:
space group	Cmcm, No. 63

***

| no. | electronic total energy (eV/atom) |
| --- | --- |
| 1 | -4.6622 |
| 2 | -4.2801 |
| 3 | -4.5820 |
| 4 | -4.0175 |
| 5 | -4.1627 |
| 6 | -4.3510 |